{
  "formula": "LiCrAs",
  "functional": "PBE",
  "state": "optimized geometry",
  "lattice_angstrom": [[4.002, -2.468, 0.000], [4.002, 2.468, 0.000], [-1.665, 0.000, 4.257]],
  "species": ["Li", "Li", "Cr", "Cr", "As", "As"],
  "fractional_positions": [[0.247, 0.753, 0.000], [0.753, 0.247, 0.000], [0.367, 0.367, 0.406], [0.633, 0.633, 0.594], [0.210, 0.210, 0.783], [0.790, 0.790, 0.217]],
  "e_tot_ha_per_atom": -0.204,
  "spacegroup": "C2/m, No. 12",
  "formation_energy_mev_per_atom": -154
}


{
  "formula": "LiHo2Pb9",
  "functional": "PBE",
  "state": "optimized geometry",
  "lattice_angstrom": [[4.824, 0.000, 0.000], [0.000, 4.824, 0.000], [0.000, 0.000, 14.770]],
  "species": ["Li", "Ho", "Ho", "Pb", "Pb", "Pb", "Pb", "Pb", "Pb", "Pb", "Pb", "Pb"],
  "fractional_positions": [[0.000, 0.000, 0.000], [0.000, 0.000, 0.337], [0.000, 0.000, 0.663], [0.000, 0.500, 0.162], [0.000, 0.500, 0.500], [0.000, 0.500, 0.838], [0.500, 0.000, 0.162], [0.500, 0.000, 0.500], [0.500, 0.000, 0.838], [0.500, 0.500, 0.000], [0.500, 0.500, 0.330], [0.500, 0.500, 0.670]],
  "e_tot_ha_per_atom": -0.144,
  "spacegroup": "P4/mmm, No. 123",
  "formation_energy_mev_per_atom": -218
}